First-principles (PBE-GGA) data for crystalline HoMg2Sn3 at its relaxed geometry, as listed in Alexandria.

The formation energy is -8.2 kJ per mole of atoms. The calculation puts the energy relative to the lowest polymorph listed for this composition at 270.7 meV/atom. The density of states at the Fermi level is 13.45 states/eV/cell.

The structure belongs to space group Cmcm (No. 63); the cell edges are 11.997, 9.752 and 6.037 Å and the angles 90.00°, 90.00° and 90.00°. The distinct sites, in fractional coordinates, are Ho at (0.000, 0.206, 0.250), Mg at (0.132, 0.500, 0.000), Sn at (0.000, 0.295, 0.750) and Sn at (0.155, 0.054, 0.750).